No. 1
{"formula": "TbCe2Hg", "functional": "PBE-GGA", "state": "optimized geometry", "ef_ev_per_atom": 0.035, "sg": "Fm-3m, No. 225", "magmom_total_mub_per_fu": 2.87, "relative_energy_ev_per_atom": 0.146, "lattice_angstrom": [[0.000, 3.853, 3.853], [3.853, 0.000, 3.853], [3.853, 3.853, 0.000]], "species": ["Tb", "Ce", "Ce", "Hg"], "frac_coords": [[0.000, 0.000, 0.000], [0.250, 0.250, 0.250], [0.750, 0.750, 0.750], [0.500, 0.500, 0.500]]}

No. 2
{"formula": "CoW2Cl", "functional": "PBE-GGA", "state": "optimized geometry", "sg": "Imm2, No. 44", "magmom_total_mub_per_fu": 0.00, "e_form_raw_ev_per_atom": 0.71, "relative_energy_ev_per_atom": 0.335, "lattice_angstrom": [[-1.406, 2.243, 4.487], [1.406, -2.243, 4.487], [1.406, 2.243, -4.487]], "species": ["Co", "W", "W", "Cl"], "frac_coords": [[0.000, 0.000, 0.000], [0.246, 0.746, 0.500], [0.534, 0.534, 0.000], [0.761, 0.261, 0.500]]}

No. 3
{"formula": "CaOsBr", "functional": "PBE-GGA", "state": "optimized geometry", "sg": "F-43m, No. 216", "magmom_total_mub_per_fu": 0.01, "e_form_raw_ev_per_atom": 0.92, "relative_energy_ev_per_atom": 0.498, "lattice_angstrom": [[0.000, 3.256, 3.256], [3.256, 0.000, 3.256], [3.256, 3.256, 0.000]], "species": ["Ca", "Os", "Br"], "frac_coords": [[0.000, 0.000, 0.000], [0.250, 0.250, 0.250], [0.500, 0.500, 0.500]]}

No. 4
{"formula": "CdSnPdO4", "functional": "PBE-GGA", "state": "optimized geometry", "sg": "Imma, No. 74", "magmom_total_mub_per_fu": 0.00, "e_form_raw_ev_per_atom": -1.05, "lattice_angstrom": [[-3.031, 3.145, 5.226], [3.031, -3.145, 5.226], [3.031, 3.145, -5.226]], "species": ["Cd", "Cd", "Sn", "Sn", "Pd", "Pd", "O", "O", "O", "O", "O", "O", "O", "O"], "frac_coords": [[0.409, 0.159, 0.250], [0.591, 0.841, 0.750], [0.000, 0.500, 0.500], [0.500, 0.500, 0.000], [0.000, 0.000, 0.500], [0.000, 0.500, 0.000], [0.170, 0.706, 0.464], [0.258, 0.294, 0.964], [0.272, 0.297, 0.525], [0.272, 0.746, 0.975], [0.728, 0.254, 0.025], [0.728, 0.703, 0.475], [0.742, 0.706, 0.036], [0.830, 0.294, 0.536]]}

No. 5
{"formula": "Sm7Al2Hg2", "functional": "PBE-GGA", "state": "optimized geometry", "ef_ev_per_atom": -0.049, "sg": "Cmmm, No. 65", "magmom_total_mub_per_fu": 0.00, "lattice_angstrom": [[3.886, -5.506, 0.000], [3.886, 5.506, 0.000], [0.000, 0.000, 7.957]], "species": ["Sm", "Sm", "Sm", "Sm", "Sm", "Sm", "Sm", "Al", "Al", "Hg", "Hg"], "frac_coords": [[0.000, 0.000, 0.000], [0.000, 0.500, 0.294], [0.000, 0.500, 0.706], [0.500, 0.000, 0.294], [0.500, 0.000, 0.706], [0.500, 0.500, 0.273], [0.500, 0.500, 0.727], [0.167, 0.167, 0.500], [0.833, 0.833, 0.500], [0.291, 0.709, 0.000], [0.709, 0.291, 0.000]]}

No. 6
{"formula": "Er6AlTl2", "functional": "PBE-GGA", "state": "optimized geometry", "ef_ev_per_atom": -0.244, "sg": "P-62m, No. 189", "magmom_total_mub_per_fu": 0.66, "lattice_angstrom": [[8.745, 0.000, 0.000], [-4.372, 7.573, 0.000], [0.000, 0.000, 3.735]], "species": ["Er", "Er", "Er", "Er", "Er", "Er", "Al", "Tl", "Tl"], "frac_coords": [[0.000, 0.376, 0.000], [0.000, 0.720, 0.500], [0.280, 0.280, 0.500], [0.376, 0.000, 0.000], [0.624, 0.624, 0.000], [0.720, 0.000, 0.500], [0.000, 0.000, 0.000], [0.333, 0.667, 0.500], [0.667, 0.333, 0.500]]}

No. 7
{"formula": "TiRePd2", "functional": "PBE-GGA", "state": "optimized geometry", "ef_ev_per_atom": 0.128, "sg": "Fm-3m, No. 225", "magmom_total_mub_per_fu": 1.07, "relative_energy_ev_per_atom": 0.000, "lattice_angstrom": [[0.000, 3.147, 3.147], [3.147, 0.000, 3.147], [3.147, 3.147, 0.000]], "species": ["Ti", "Re", "Pd", "Pd"], "frac_coords": [[0.000, 0.000, 0.000], [0.500, 0.500, 0.500], [0.250, 0.250, 0.250], [0.750, 0.750, 0.750]]}

No. 8
{"formula": "Al4CuSi2", "functional": "PBE-GGA", "state": "optimized geometry", "sg": "P3m1, No. 156", "magmom_total_mub_per_fu": 0.00, "e_form_raw_ev_per_atom": 0.22, "relative_energy_ev_per_atom": 0.108, "lattice_angstrom": [[3.987, 0.000, 0.000], [-1.994, 3.453, 0.000], [0.000, 0.000, 10.603]], "species": ["Al", "Al", "Al", "Al", "Cu", "Si", "Si"], "frac_coords": [[0.000, 0.000, 0.000], [0.000, 0.000, 0.465], [0.667, 0.333, 0.308], [0.667, 0.333, 0.786], [0.000, 0.000, 0.228], [0.333, 0.667, 0.887], [0.667, 0.333, 0.551]]}

Computed DFT total energy, in the same sequence as the records: -4.16; -8.00; -4.05; -5.33; -3.79; -4.23; -7.55; -4.06 eV/atom.
Computed N(E_F), in the same sequence as the records: 12.03; 2.64; 4.91; 0.41; 14.09; 11.15; 4.94; 2.23 states/eV/f.u..